# 1
An optimized crystal structure of CsK2As, computed with GGA-PBE.

The space group is P2_1/c (No. 14) and the conventional cell measures 10.105, 8.437 and 10.994 Å, with angles of 90.00, 110.22 and 90.00 degrees. The inequivalent atoms are Cs at (0.068, 0.006, 0.216), K at (0.299, 0.626, 0.131), K at (0.330, 0.191, 0.985) and As at (0.043, 0.140, 0.529).

The calculation puts the total magnetization at 0.00 μB/cell.



# 2
An optimized crystal structure of Y2ErZr, computed with GGA-PBE.

The space group is P4/mmm (No. 123) and the conventional cell measures 4.027, 4.027 and 7.209 Å, with angles of 90.00, 90.00 and 90.00 degrees. The inequivalent atoms are Y at (0.000, 0.000, 0.228), Er at (0.500, 0.500, 0.500) and Zr at (0.500, 0.500, 0.000).

The offset from the most stable computed form is 103 meV per atom. The calculation puts the total magnetization at 0.00 μB/cell.



no.,VASP energy (eV for the cell shown)
1,-34.3
2,-25.3